Below is a relaxed Dy2MgPb9 crystal, with properties calculated at the GGA-PBE level.

Computed properties:
SG: P4/mmm

abc: 4.777 4.777 15.281
angles: 90.00 90.00 90.00
Fractional positions:
Dy (0.000, 0.000, 0.158)
Dy (0.000, 0.000, 0.842)
Mg (0.000, 0.000, 0.500)
Pb (0.000, 0.500, 0.000)
Pb (0.000, 0.500, 0.335)
Pb (0.000, 0.500, 0.665)
Pb (0.500, 0.000, 0.000)
Pb (0.500, 0.000, 0.335)
Pb (0.500, 0.000, 0.665)
Pb (0.500, 0.500, 0.170)
Pb (0.500, 0.500, 0.500)
Pb (0.500, 0.500, 0.830)


Below is a relaxed DyMg4Pb3 crystal, with properties calculated at the GGA-PBE level.

Computed properties:
SG: Cm

abc: 7.417 7.417 5.087
angles: 99.59 99.59 55.01
Fractional positions:
Dy (0.000, 0.000, 0.000)
Mg (0.285, 0.721, 0.501)
Mg (0.291, 0.291, 0.160)
Mg (0.712, 0.712, 0.852)
Mg (0.721, 0.285, 0.501)
Pb (0.181, 0.181, 0.601)
Pb (0.499, 0.499, 0.999)
Pb (0.823, 0.823, 0.409)


Below is a relaxed Dy2MgPb3 crystal, with properties calculated at the GGA-PBE level.

Computed properties:
Energy relative to the lowest polymorph listed for this composition (eV/f.u.): 0.000
SG: Cmmm

abc: 8.085 8.085 4.708
angles: 90.00 90.00 148.04
Fractional positions:
Dy (0.154, 0.846, 0.000)
Dy (0.846, 0.154, 0.000)
Mg (0.000, 0.000, 0.500)
Pb (0.331, 0.669, 0.500)
Pb (0.500, 0.500, 0.000)
Pb (0.669, 0.331, 0.500)


Below is a relaxed DyMg4Pb7 crystal, with properties calculated at the GGA-PBE level.

Computed properties:
SG: C2/m

abc: 7.460 7.460 10.587
angles: 120.44 120.44 46.43
Fractional positions:
Dy (0.000, 0.000, 0.000)
Mg (0.292, 0.292, 0.679)
Mg (0.442, 0.442, 0.231)
Mg (0.558, 0.558, 0.769)
Mg (0.708, 0.708, 0.321)
Pb (0.080, 0.080, 0.361)
Pb (0.209, 0.209, 0.892)
Pb (0.341, 0.341, 0.414)
Pb (0.500, 0.500, 0.000)
Pb (0.659, 0.659, 0.586)
Pb (0.791, 0.791, 0.108)
Pb (0.920, 0.920, 0.639)


Below is a relaxed Dy2MgPb2 crystal, with properties calculated at the GGA-PBE level.

Computed properties:
SG: Immm

abc: 6.102 6.102 6.102
angles: 135.64 113.89 83.11
Fractional positions:
Dy (0.202, 0.202, 0.000)
Dy (0.798, 0.798, 0.000)
Mg (0.500, 0.000, 0.500)
Pb (0.229, 0.500, 0.729)
Pb (0.771, 0.500, 0.271)


Below is a relaxed DyMgPb3 crystal, with properties calculated at the GGA-PBE level.

Computed properties:
Energy relative to the lowest polymorph listed for this composition (eV/f.u.): 0.000
SG: P2/c

abc: 6.485 13.415 6.400
angles: 90.00 90.10 90.00
Fractional positions:
Dy (0.250, 0.192, 0.000)
Dy (0.250, 0.808, 0.500)
Dy (0.750, 0.192, 0.500)
Dy (0.750, 0.808, 0.000)
Mg (0.000, 0.382, 0.250)
Mg (0.000, 0.618, 0.750)
Mg (0.500, 0.382, 0.250)
Mg (0.500, 0.618, 0.750)
Pb (0.000, 0.001, 0.250)
Pb (0.000, 0.999, 0.750)
Pb (0.250, 0.224, 0.505)
Pb (0.250, 0.423, 0.815)
Pb (0.250, 0.577, 0.315)
Pb (0.250, 0.776, 0.005)
Pb (0.500, 0.001, 0.250)
Pb (0.500, 0.999, 0.750)
Pb (0.750, 0.224, 0.995)
Pb (0.750, 0.423, 0.685)
Pb (0.750, 0.577, 0.185)
Pb (0.750, 0.776, 0.495)


Below is a relaxed Dy3Mg2Pb6 crystal, with properties calculated at the GGA-PBE level.

Computed properties:
SG: I4/mmm

abc: 14.972 14.972 14.972
angles: 161.68 161.68 26.02
Fractional positions:
Dy (0.000, 0.000, 0.000)
Dy (0.158, 0.158, 0.000)
Dy (0.842, 0.842, 0.000)
Mg (0.360, 0.360, 0.000)
Mg (0.640, 0.640, 0.000)
Pb (0.076, 0.576, 0.500)
Pb (0.264, 0.264, 0.000)
Pb (0.424, 0.924, 0.500)
Pb (0.576, 0.076, 0.500)
Pb (0.736, 0.736, 0.000)
Pb (0.924, 0.424, 0.500)


Below is a relaxed Dy4Mg4Pb7 crystal, with properties calculated at the GGA-PBE level.

Computed properties:
SG: I4/mmm

abc: 11.733 11.733 11.733
angles: 94.19 94.19 148.65
Fractional positions:
Dy (0.000, 0.189, 0.189)
Dy (0.000, 0.811, 0.811)
Dy (0.189, 0.000, 0.189)
Dy (0.366, 0.366, 0.732)
Dy (0.366, 0.634, 0.000)
Dy (0.634, 0.366, 0.000)
Dy (0.634, 0.634, 0.268)
Dy (0.811, 0.000, 0.811)
Mg (0.095, 0.595, 0.189)
Mg (0.095, 0.905, 0.500)
Mg (0.405, 0.595, 0.500)
Mg (0.405, 0.905, 0.811)
Mg (0.595, 0.095, 0.189)
Mg (0.595, 0.405, 0.500)
Mg (0.905, 0.095, 0.500)
Mg (0.905, 0.405, 0.811)
Pb (0.000, 0.405, 0.405)
Pb (0.000, 0.595, 0.595)
Pb (0.194, 0.194, 0.389)
Pb (0.194, 0.806, 0.000)
Pb (0.227, 0.500, 0.727)
Pb (0.250, 0.250, 0.000)
Pb (0.405, 0.000, 0.405)
Pb (0.500, 0.227, 0.727)
Pb (0.500, 0.773, 0.273)
Pb (0.595, 0.000, 0.595)
Pb (0.750, 0.750, 0.000)
Pb (0.773, 0.500, 0.273)
Pb (0.806, 0.194, 0.000)
Pb (0.806, 0.806, 0.611)


Below is a relaxed Dy2Mg3Pb3 crystal, with properties calculated at the GGA-PBE level.

Computed properties:
SG: Pmmm

abc: 4.706 4.853 9.088
angles: 90.00 90.00 90.00
Fractional positions:
Dy (0.000, 0.000, 0.247)
Dy (0.000, 0.000, 0.753)
Mg (0.000, 0.500, 0.500)
Mg (0.500, 0.500, 0.259)
Mg (0.500, 0.500, 0.741)
Pb (0.000, 0.500, 0.000)
Pb (0.500, 0.000, 0.000)
Pb (0.500, 0.000, 0.500)


Below is a relaxed Dy4Mg5Pb6 crystal, with properties calculated at the GGA-PBE level.

Computed properties:
SG: Cmc2_1

abc: 10.743 10.743 16.655
angles: 90.00 90.00 154.59
Fractional positions:
Dy (0.017, 0.983, 0.500)
Dy (0.033, 0.967, 0.769)
Dy (0.161, 0.839, 0.300)
Dy (0.173, 0.827, 0.941)
Dy (0.827, 0.173, 0.441)
Dy (0.839, 0.161, 0.800)
Dy (0.967, 0.033, 0.269)
Dy (0.983, 0.017, 0.000)
Mg (0.155, 0.845, 0.627)
Mg (0.303, 0.697, 0.618)
Mg (0.342, 0.658, 0.274)
Mg (0.347, 0.653, 0.986)
Mg (0.438, 0.562, 0.684)
Mg (0.562, 0.438, 0.184)
Mg (0.653, 0.347, 0.486)
Mg (0.658, 0.342, 0.774)
Mg (0.697, 0.303, 0.118)
Mg (0.845, 0.155, 0.127)
Pb (0.110, 0.890, 0.114)
Pb (0.230, 0.770, 0.471)
Pb (0.239, 0.761, 0.771)
Pb (0.427, 0.573, 0.420)
Pb (0.433, 0.567, 0.130)
Pb (0.437, 0.563, 0.855)
Pb (0.563, 0.437, 0.355)
Pb (0.567, 0.433, 0.630)
Pb (0.573, 0.427, 0.920)
Pb (0.761, 0.239, 0.271)
Pb (0.770, 0.230, 0.971)
Pb (0.890, 0.110, 0.614)


Below is a relaxed Dy3MgPb12 crystal, with properties calculated at the GGA-PBE level.

Computed properties:
SG: P4/mmm

abc: 4.829 4.829 19.946
angles: 90.00 90.00 90.00
Fractional positions:
Dy (0.000, 0.000, 0.000)
Dy (0.000, 0.000, 0.243)
Dy (0.000, 0.000, 0.757)
Mg (0.000, 0.000, 0.500)
Pb (0.000, 0.500, 0.124)
Pb (0.000, 0.500, 0.376)
Pb (0.000, 0.500, 0.624)
Pb (0.000, 0.500, 0.876)
Pb (0.500, 0.000, 0.124)
Pb (0.500, 0.000, 0.376)
Pb (0.500, 0.000, 0.624)
Pb (0.500, 0.000, 0.876)
Pb (0.500, 0.500, 0.000)
Pb (0.500, 0.500, 0.252)
Pb (0.500, 0.500, 0.500)
Pb (0.500, 0.500, 0.748)


Below is a relaxed Dy3MgPb2 crystal, with properties calculated at the GGA-PBE level.

Computed properties:
SG: Ibam

abc: 9.524 9.524 9.524
angles: 140.55 56.72 140.95
Fractional positions:
Dy (0.174, 0.737, 0.911)
Dy (0.250, 0.250, 0.000)
Dy (0.326, 0.237, 0.563)
Dy (0.674, 0.763, 0.437)
Dy (0.750, 0.750, 0.000)
Dy (0.826, 0.263, 0.089)
Mg (0.250, 0.750, 0.500)
Mg (0.750, 0.250, 0.500)
Pb (0.138, 0.243, 0.381)
Pb (0.362, 0.743, 0.104)
Pb (0.638, 0.257, 0.896)
Pb (0.862, 0.757, 0.619)


Below is a relaxed Dy3MgPb5 crystal, with properties calculated at the GGA-PBE level.

Computed properties:
SG: P6_3/mcm

abc: 9.449 9.449 6.484
angles: 90.00 90.00 120.00
Fractional positions:
Dy (0.000, 0.378, 0.250)
Dy (0.000, 0.622, 0.750)
Dy (0.378, 0.000, 0.250)
Dy (0.378, 0.378, 0.750)
Dy (0.622, 0.000, 0.750)
Dy (0.622, 0.622, 0.250)
Mg (0.000, 0.000, 0.000)
Mg (0.000, 0.000, 0.500)
Pb (0.000, 0.284, 0.750)
Pb (0.000, 0.716, 0.250)
Pb (0.284, 0.000, 0.750)
Pb (0.284, 0.284, 0.250)
Pb (0.333, 0.667, 0.000)
Pb (0.333, 0.667, 0.500)
Pb (0.667, 0.333, 0.000)
Pb (0.667, 0.333, 0.500)
Pb (0.716, 0.000, 0.250)
Pb (0.716, 0.716, 0.750)


Below is a relaxed DyMg3Pb3 crystal, with properties calculated at the GGA-PBE level.

Computed properties:
SG: Cmmm

abc: 7.415 7.415 6.988
angles: 90.00 90.00 93.17
Fractional positions:
Dy (0.202, 0.202, 0.000)
Dy (0.798, 0.798, 0.000)
Mg (0.144, 0.856, 0.500)
Mg (0.247, 0.753, 0.000)
Mg (0.258, 0.258, 0.500)
Mg (0.742, 0.742, 0.500)
Mg (0.753, 0.247, 0.000)
Mg (0.856, 0.144, 0.500)
Pb (0.000, 0.500, 0.261)
Pb (0.000, 0.500, 0.739)
Pb (0.500, 0.000, 0.261)
Pb (0.500, 0.000, 0.739)
Pb (0.500, 0.500, 0.242)
Pb (0.500, 0.500, 0.758)


Below is a relaxed DyMgPb6 crystal, with properties calculated at the GGA-PBE level.

Computed properties:
SG: P4/mmm

abc: 4.775 4.775 10.194
angles: 90.00 90.00 90.00
Fractional positions:
Dy (0.000, 0.000, 0.000)
Mg (0.000, 0.000, 0.500)
Pb (0.000, 0.500, 0.252)
Pb (0.000, 0.500, 0.748)
Pb (0.500, 0.000, 0.252)
Pb (0.500, 0.000, 0.748)
Pb (0.500, 0.500, 0.000)
Pb (0.500, 0.500, 0.500)


Below is a relaxed Dy4MgPb5 crystal, with properties calculated at the GGA-PBE level.

Computed properties:
SG: I4

abc: 7.567 7.567 7.567
angles: 100.10 100.10 130.49
Fractional positions:
Dy (0.088, 0.694, 0.782)
Dy (0.306, 0.088, 0.395)
Dy (0.694, 0.912, 0.605)
Dy (0.912, 0.306, 0.218)
Mg (0.302, 0.302, 0.000)
Pb (0.223, 0.399, 0.624)
Pb (0.399, 0.775, 0.176)
Pb (0.599, 0.223, 0.824)
Pb (0.775, 0.599, 0.376)
Pb (0.821, 0.821, 0.000)


Below is a relaxed Dy2MgPb3 crystal, with properties calculated at the GGA-PBE level.

Computed properties:
Energy relative to the lowest polymorph listed for this composition (eV/f.u.): 1.789
SG: Cmcm

abc: 8.686 8.686 5.340
angles: 90.00 90.00 71.11
Fractional positions:
Dy (0.007, 0.231, 0.250)
Dy (0.231, 0.007, 0.750)
Dy (0.769, 0.993, 0.250)
Dy (0.993, 0.769, 0.750)
Mg (0.206, 0.794, 0.250)
Mg (0.794, 0.206, 0.750)
Pb (0.124, 0.391, 0.750)
Pb (0.391, 0.124, 0.250)
Pb (0.399, 0.601, 0.750)
Pb (0.601, 0.399, 0.250)
Pb (0.609, 0.876, 0.750)
Pb (0.876, 0.609, 0.250)


Below is a relaxed DyMg2Pb9 crystal, with properties calculated at the GGA-PBE level.

Computed properties:
SG: P4/mmm

abc: 4.785 4.785 15.269
angles: 90.00 90.00 90.00
Fractional positions:
Dy (0.000, 0.000, 0.000)
Mg (0.000, 0.000, 0.335)
Mg (0.000, 0.000, 0.665)
Pb (0.000, 0.500, 0.168)
Pb (0.000, 0.500, 0.500)
Pb (0.000, 0.500, 0.832)
Pb (0.500, 0.000, 0.168)
Pb (0.500, 0.000, 0.500)
Pb (0.500, 0.000, 0.832)
Pb (0.500, 0.500, 0.000)
Pb (0.500, 0.500, 0.335)
Pb (0.500, 0.500, 0.665)


Below is a relaxed DyMgPb4 crystal, with properties calculated at the GGA-PBE level.

Computed properties:
SG: P4/mmm

abc: 4.936 4.936 7.854
angles: 90.00 90.00 90.00
Fractional positions:
Dy (0.000, 0.000, 0.000)
Mg (0.500, 0.500, 0.500)
Pb (0.000, 0.500, 0.266)
Pb (0.000, 0.500, 0.734)
Pb (0.500, 0.000, 0.266)
Pb (0.500, 0.000, 0.734)


Below is a relaxed DyMgPb3 crystal, with properties calculated at the GGA-PBE level.

Computed properties:
Energy relative to the lowest polymorph listed for this composition (eV/f.u.): 0.755
SG: Pmmn

abc: 4.841 6.581 9.461
angles: 90.00 90.00 90.00
Fractional positions:
Dy (0.250, 0.250, 0.102)
Dy (0.750, 0.750, 0.898)
Mg (0.250, 0.750, 0.433)
Mg (0.750, 0.250, 0.567)
Pb (0.250, 0.505, 0.713)
Pb (0.250, 0.750, 0.110)
Pb (0.250, 0.995, 0.713)
Pb (0.750, 0.005, 0.287)
Pb (0.750, 0.250, 0.890)
Pb (0.750, 0.495, 0.287)


| no. | energy of formation (kJ/mol of atoms) |
| --- | --- |
| 1 | -17.5 |
| 2 | -1.7 |
| 3 | -37.4 |
| 4 | 1.3 |
| 5 | -32.5 |
| 6 | -21.9 |
| 7 | -17.6 |
| 8 | -28.6 |
| 9 | -29.4 |
| 10 | -29.3 |
| 11 | -19.6 |
| 12 | -32.2 |
| 13 | -30.6 |
| 14 | -7.9 |
| 15 | -12.0 |
| 16 | -21.2 |
| 17 | -8.7 |
| 18 | -7.7 |
| 19 | -4.2 |
| 20 | -7.3 |